(1)
First-principles (GGA+U) data for crystalline LaCoGe2O at its relaxed geometry, as listed in Alexandria.

```
LaCoGe2O
1.0
-1.9680 0.3218 3.6543
4.3264 -3.2793 2.6188
2.1280 3.4781 0.8398
Co O La Ge
1 1 1 2
direct
0.0000 0.0000 0.0000 Co
0.5000 0.5000 0.5000 O
0.0000 0.5000 0.0000 La
0.5000 0.0000 0.0000 Ge
0.0000 0.0000 0.5000 Ge
```

Calculated values
Space group = P4/mmm
Total DFT energy (no corrections) = -5.259 eV/atom
DOS(E_F) = 0.8 states/eV per cell

---

(2)
First-principles (GGA+U) data for crystalline VIrO2 at its relaxed geometry, as listed in Alexandria.

```
VIrO2
1.0
-5.9469 1.9293 1.9078
-4.4693 1.8840 4.3822
-4.2875 4.1705 2.6367
V O Ir
1 2 1
direct
0.5000 0.5000 0.5000 V
0.8933 0.8933 0.8933 O
0.1067 0.1067 0.1067 O
0.0000 0.0000 0.0000 Ir
```

Calculated values
Space group = R-3m
DOS(E_F) = 4.2 states/eV per cell
ΔE to the lowest computed polymorph = 0.0 meV per atom